Record 1
Below is crystalline MgZr3N at its relaxed geometry, with properties calculated at the PBE-GGA level.

Lattice parameters (Å, degrees): 5.859 5.859 5.859 93.99 93.99 93.99
Atoms (fractional coordinates):
Mg 0.000 0.000 0.000
Mg 0.500 0.500 0.500
Zr 0.008 0.492 0.250
Zr 0.492 0.250 0.008
Zr 0.250 0.008 0.492
Zr 0.750 0.992 0.508
Zr 0.508 0.750 0.992
Zr 0.992 0.508 0.750
N 0.250 0.250 0.250
N 0.750 0.750 0.750

Summary:
Total magnetic moment in Bohr magnetons per cell: 0.0
E_form (uncorrected) in eV/atom: -0.36

=====

Record 2
Below is crystalline MgZr3N at its relaxed geometry, with properties calculated at the PBE-GGA level.

Lattice parameters (Å, degrees): 8.224 4.730 5.800 65.93 111.62 90.00
Atoms (fractional coordinates):
Mg 0.940 0.127 0.439
Mg 0.061 0.351 0.992
Zr 0.437 0.097 0.501
Zr 0.309 0.847 0.999
Zr 0.828 0.885 0.924
Zr 0.173 0.593 0.507
Zr 0.564 0.382 0.931
Zr 0.691 0.631 0.432
N 0.427 0.618 0.459
N 0.574 0.860 0.973

Summary:
Total magnetic moment in Bohr magnetons per cell: 0.0
E_form (uncorrected) in eV/atom: -0.68

=====

Record 3
Below is crystalline MgZrN2 at its relaxed geometry, with properties calculated at the PBE-GGA level.

Lattice parameters (Å, degrees): 4.495 4.495 5.615 113.59 113.59 90.00
Atoms (fractional coordinates):
Mg 0.500 0.500 0.000
Mg 0.250 0.750 0.500
Zr 0.000 0.000 0.000
Zr 0.750 0.250 0.500
N 0.241 0.241 0.482
N 0.759 0.759 0.518
N 0.509 0.009 0.018
N 0.991 0.491 0.982

Summary:
Total magnetic moment in Bohr magnetons per cell: 0.0
E_form (uncorrected) in eV/atom: -1.34

=====

Record 4
Below is crystalline MgZr3N at its relaxed geometry, with properties calculated at the PBE-GGA level.

Lattice parameters (Å, degrees): 8.413 4.555 5.735 66.61 86.16 105.70
Atoms (fractional coordinates):
Mg 0.815 0.688 0.733
Mg 0.941 0.045 0.146
Zr 0.441 0.543 0.650
Zr 0.314 0.164 0.281
Zr 0.059 0.414 0.524
Zr 0.175 0.788 0.893
Zr 0.565 0.945 0.969
Zr 0.684 0.319 0.339
N 0.442 0.054 0.627
N 0.568 0.434 0.995

Summary:
Total magnetic moment in Bohr magnetons per cell: 0.0
E_form (uncorrected) in eV/atom: -0.62

=====

Record 5
Below is crystalline MgZr3N at its relaxed geometry, with properties calculated at the PBE-GGA level.

Lattice parameters (Å, degrees): 6.490 6.490 6.490 59.06 59.06 59.06
Atoms (fractional coordinates):
Mg 0.407 0.407 0.407
Mg 0.593 0.593 0.593
Zr 0.412 0.979 0.856
Zr 0.979 0.856 0.412
Zr 0.144 0.588 0.021
Zr 0.021 0.144 0.588
Zr 0.588 0.021 0.144
Zr 0.856 0.412 0.979
N 0.165 0.165 0.165
N 0.835 0.835 0.835

Summary:
Total magnetic moment in Bohr magnetons per cell: 0.0
E_form (uncorrected) in eV/atom: -0.39

=====

Record 6
Below is crystalline MgZr2N at its relaxed geometry, with properties calculated at the PBE-GGA level.

Lattice parameters (Å, degrees): 3.236 3.236 8.809 79.42 79.42 60.00
Atoms (fractional coordinates):
Mg 0.000 0.000 0.000
Zr 0.118 0.118 0.647
Zr 0.882 0.882 0.353
N 0.500 0.500 0.500

Summary:
Total magnetic moment in Bohr magnetons per cell: 0.0
E_form (uncorrected) in eV/atom: -0.60
Energy above the lowest structure with this stoichiometry in kJ/mol of formula units: 100

=====

> total magnetic moment of number 2 (MgZr3N)?

0.0 Bohr magnetons per cell

=====

> Which of these has the lowest E_form (uncorrected)?

MgZrN2